[1]
Entry from Alexandria: an optimized crystal structure of La2MgIn (PBE-GGA).

Structure (extended XYZ):
```
4
Lattice="0.000 3.901 3.901 3.901 0.000 3.901 3.901 3.901 0.000" Properties=species:S:1:pos:R:3 pbc="T T T"
La 0.000 0.000 0.000
La 1.951 1.951 1.951
Mg 5.852 5.852 5.852
In 3.901 3.901 3.901
```

energy of formation from the pure elements: -0.0370 eV/atom
crystal system: cubic

[2]
Entry from Alexandria: an optimized crystal structure of La5MgIn4 (PBE-GGA).

Structure (extended XYZ):
```
10
Lattice="3.943 0.000 0.000 0.000 3.943 0.000 0.000 0.000 19.935" Properties=species:S:1:pos:R:3 pbc="T T T"
La 0.000 0.000 0.000
La 0.000 0.000 3.999
La 0.000 0.000 7.977
La 0.000 0.000 11.958
La 0.000 0.000 15.936
Mg 1.972 1.972 9.968
In 1.972 1.972 1.997
In 1.972 1.972 6.045
In 1.972 1.972 13.890
In 1.972 1.972 17.938
```

energy of formation from the pure elements: -0.4336 eV/atom
crystal system: tetragonal

[3]
Entry from Alexandria: an optimized crystal structure of La2MgIn (PBE-GGA).

Structure (extended XYZ):
```
4
Lattice="6.207 -1.980 0.000 6.207 1.980 0.000 -2.412 0.000 4.934" Properties=species:S:1:pos:R:3 pbc="T T T"
La 0.000 0.000 0.000
La 1.081 0.000 3.608
Mg 8.878 0.000 1.328
In 4.639 0.000 2.292
```

energy of formation from the pure elements: -0.2888 eV/atom
crystal system: monoclinic

[4]
Entry from Alexandria: an optimized crystal structure of LaMgInN2 (PBE-GGA).

Structure (extended XYZ):
```
5
Lattice="4.281 0.000 0.000 0.000 4.281 0.000 0.000 0.000 5.394" Properties=species:S:1:pos:R:3 pbc="T T T"
La 0.000 0.000 0.000
Mg 0.000 0.000 2.697
In 2.141 2.141 0.000
N 0.000 2.141 2.697
N 2.141 0.000 2.697
```

crystal system: tetragonal
raw formation energy: 5.592 eV/f.u.

Q: Which total energy values were calculated for the entries above? A: -3.58 -4.15 -3.84 -4.06, in eV/atom.